The following is a DFT calculation (PBE-GGA) of a geometry-optimized SrCaTa structure.

Calculated values
DFT formation energy = 137 kJ per mole of atoms
space group = F-43m, No. 216
total magnetization = 4.59 μB/f.u.
excess energy over the best structure of this formula in the dataset = 0.619 eV/atom

Cell lengths 5.552, 5.552, 5.552 Å; angles 60.00, 60.00, 60.00 degrees
Site moments in Bohr magnetons follow the coordinates.
Element x y z (fractional)
Ta (0.750, 0.750, 0.750)  2.24
Ca (0.000, 0.000, 0.000)  0.15
Sr (0.500, 0.500, 0.500)  0.15